Record 1
Material: Al2V4Tc
Method: DFT, GGA-PBE
State: relaxed

It has space group R-3m (No. 166, hexagonal axes), with a = 4.3344 Å, b = 4.3344 Å, c = 18.1718 Å, α = 90.00°, β = 90.00° and γ = 120.00°. The inequivalent atoms are Al at (0.0000, 0.0000, 0.2162), V at (0.0000, 0.0000, 0.0650), V at (0.0000, 0.0000, 0.3642) and Tc at (0.0000, 0.0000, 0.5000).

The total energy is -7.980 eV/atom. As for the density of states at the Fermi level: 1.248 states/eV per atom. For the magnetization, the calculation gives 0.000 μB per formula unit. Its formation enthalpy at 0 K is -0.22 eV/atom.

***

Record 2
Material: Al2V3Tc4
Method: DFT, GGA-PBE
State: relaxed

It has space group P-3m1 (No. 164), with a = 4.2918 Å, b = 4.2918 Å, c = 7.9264 Å, α = 90.00°, β = 90.00° and γ = 120.00°. The inequivalent atoms are Al at (0.3333, 0.6667, 0.2248), V at (0.0000, 0.0000, 0.0000), V at (0.3333, 0.6667, 0.5759), Tc at (0.0000, 0.0000, 0.3393) and Tc at (0.3333, 0.6667, 0.8917).

The total energy is -8.867 eV/atom. As for the density of states at the Fermi level: 0.889 states/eV per atom. For the magnetization, the calculation gives 0.001 μB per formula unit. Its formation enthalpy at 0 K is -0.39 eV/atom.

***

Record 3
Material: AlV4Tc5
Method: DFT, GGA-PBE
State: relaxed

It has space group P4/mmm (No. 123), with a = 3.031 Å, b = 3.031 Å, c = 15.181 Å, α = 90.00°, β = 90.00° and γ = 90.00°. The inequivalent atoms are Al at (0.000, 0.000, 0.000), V at (0.000, 0.000, 0.198), V at (0.000, 0.000, 0.399), Tc at (0.500, 0.500, 0.106), Tc at (0.500, 0.500, 0.302) and Tc at (0.500, 0.500, 0.500).

The total energy is -9.583 eV/atom. As for the density of states at the Fermi level: 0.744 states/eV per atom. For the magnetization, the calculation gives 0.000 μB per formula unit. Its formation enthalpy at 0 K is -0.38 eV/atom.

***

Record 4
Material: AlVTc
Method: DFT, GGA-PBE
State: relaxed

It has space group P3m1 (No. 156), with a = 4.2670 Å, b = 4.2670 Å, c = 2.6849 Å, α = 90.00°, β = 90.00° and γ = 120.00°. The inequivalent atoms are Al at (0.0000, 0.0000, 0.0000), V at (0.3333, 0.6667, 0.6194) and Tc at (0.6667, 0.3333, 0.3761).

The total energy is -8.090 eV/atom. As for the density of states at the Fermi level: 0.715 states/eV per atom. For the magnetization, the calculation gives 0.000 μB per formula unit. Its formation enthalpy at 0 K is -0.35 eV/atom.

***

Record 5
Material: AlV4Tc2
Method: DFT, GGA-PBE
State: relaxed

It has space group I4/mmm (No. 139), with a = 4.386 Å, b = 4.386 Å, c = 12.215 Å, α = 90.00°, β = 90.00° and γ = 90.00°. The inequivalent atoms are Al at (0.000, 0.000, 0.000), V at (0.000, 0.000, 0.198), V at (0.000, 0.500, 0.000) and Tc at (0.000, 0.000, 0.379).

The total energy is -7.688 eV/atom. As for the density of states at the Fermi level: 1.469 states/eV per atom. For the magnetization, the calculation gives 0.003 μB per formula unit. Its formation enthalpy at 0 K is 1.02 eV/atom.

***

Record 6
Material: AlVTc
Method: DFT, GGA-PBE
State: relaxed

It has space group Cmcm (No. 63), with a = 3.134 Å, b = 12.529 Å, c = 4.357 Å, α = 90.00°, β = 90.00° and γ = 90.00°. The inequivalent atoms are Al at (0.000, 0.089, 0.250), V at (0.000, 0.231, 0.750) and Tc at (0.000, 0.417, 0.250).

The total energy is -8.107 eV/atom. As for the density of states at the Fermi level: 0.749 states/eV per atom. For the magnetization, the calculation gives 0.000 μB per formula unit. Its formation enthalpy at 0 K is -0.37 eV/atom.